Mg2Cd2Pd7 after structural relaxation, computed with PBE-GGA.

The structure in CIF format:
```
data_Mg2Cd2Pd7
_space_group_name_H-M_alt 'P 1'
_space_group_IT_number 1
_space_group_name_Hall 'P 1'
_cell_length_a 6.6100
_cell_length_b 4.6682
_cell_length_c 6.6100
_cell_angle_alpha 80.98
_cell_angle_beta 101.30
_cell_angle_gamma 99.02
loop_
_atom_site_label
_atom_site_fract_x
_atom_site_fract_y
_atom_site_fract_z
_atom_site_occupancy
Pd1 0.4369 0.2181 0.5631 1
Pd2 0.0000 0.0000 0.0000 1
Pd3 0.0342 0.2240 0.6089 1
Pd4 0.6089 0.7760 0.0342 1
Pd5 0.5631 0.7819 0.4369 1
Pd6 0.3911 0.2240 0.9658 1
Pd7 0.9658 0.7760 0.3911 1
Cd1 0.7929 0.5000 0.7929 1
Cd2 0.2071 0.5000 0.2071 1
Mg1 0.7330 0.2855 0.2670 1
Mg2 0.2670 0.7145 0.7330 1
```

Properties
As for the formation energy: -3.079 eV/f.u. The total magnetic moment is 0.00 μB/cell. The electronic total energy is -44.45 eV/cell. As for the space-group type: C2/m, No. 12.